Entry from OQMD via LeMat-Bulk: crystalline AcCoMo at its relaxed geometry (PBE-GGA).

Results
The polymorph energy (0 for the lowest one) comes out at 0.0000 eV per atom. Its raw total energy is -6.32 eV per atom. The calculation puts the formation enthalpy at 0 K at 1.029 eV/atom. The spin magnetization is 4.45 μB per cell.

```
data_AcCoMo
_space_group_name_H-M_alt 'F -4 3 m'
_space_group_IT_number 216
_space_group_name_Hall 'F -4 2 3'
_cell_length_a 6.416
_cell_length_b 6.416
_cell_length_c 6.416
_cell_angle_alpha 90.00
_cell_angle_beta 90.00
_cell_angle_gamma 90.00
loop_
_atom_site_label
_atom_site_type_symbol
_atom_site_fract_x
_atom_site_fract_y
_atom_site_fract_z
Ac1 Ac 0.000 0.000 0.000
Co1 Co 0.000 0.000 0.500
Mo1 Mo 0.250 0.250 0.750
```